1.
The following is a PBE calculation of a relaxed structure of KZr2Cd, from the Alexandria database.

Its formation energy from the elements is 0.670 eV per atom.

It has space group Cmmm (No. 65), with a = 6.343 Å, b = 11.265 Å, c = 2.907 Å, α = 90.00°, β = 90.00° and γ = 90.00°. The distinct sites, in fractional coordinates, are K at (0.000, 0.000, 0.000), Zr at (0.250, 0.250, 0.500) and Cd at (0.000, 0.500, 0.000).

---

2.
The following is a PBE calculation of a relaxed structure of Dy2HgS, from the Alexandria database.

Its uncorrected formation energy is -1.158 eV per atom.

It has space group R3m (No. 160, hexagonal axes), with a = 3.8177 Å, b = 3.8177 Å, c = 23.3467 Å, α = 90.00°, β = 90.00° and γ = 120.00°. The distinct sites, in fractional coordinates, are Dy at (0.0000, 0.0000, 0.0000), Dy at (0.0000, 0.0000, 0.1945), Hg at (0.0000, 0.0000, 0.4308) and S at (0.0000, 0.0000, 0.5991).

---

Number 1: E -4.11 eV/atom. Number 2: E -4.57 eV/atom.